The following is a PBE calculation of an optimized crystal structure of CeTl2Cd2Se4, from the Alexandria database.

For the uncorrected formation energy, the calculation gives -763 meV/atom.

Cell lengths 17.0354, 4.1829, 8.4283 Å; angles 90.00, 117.70, 90.00 degrees
Space group C2/m (No. 12)
Symmetry-distinct sites (fractional):
1 Ce 0.0000 0.0000 0.0000
2 Tl 0.1247 0.0000 0.5469
3 Cd 0.1956 0.5000 0.0366
4 Se 0.0214 0.5000 0.7798
5 Se 0.1892 0.0000 0.2503



The following is a PBE calculation of an optimized crystal structure of InAg2P, from the Alexandria database.

The energy relative to the elements is 1.07 eV per formula unit. For the energy above the most stable polymorph in this dataset, the calculation gives 0.1099 eV per atom.

Cell lengths 4.4085, 4.4268, 7.8967 Å; angles 90.00, 90.00, 90.00 degrees
Space group Cmm2 (No. 35)
Symmetry-distinct sites (fractional):
1 In 0.0000 0.0000 0.0000
2 Ag 0.0000 0.0000 0.4722
3 Ag 0.0000 0.5000 0.7224
4 P 0.0000 0.5000 0.2629



The following is a PBE calculation of an optimized crystal structure of Y2CrW2, from the Alexandria database.

The energy relative to the elements is 3.79 eV per formula unit.

Cell lengths 3.7090, 3.7090, 17.4219 Å; angles 90.00, 90.00, 90.00 degrees
Space group I4/mmm (No. 139)
Symmetry-distinct sites (fractional):
1 Y 0.0000 0.0000 0.1062
2 Cr 0.0000 0.0000 0.5000
3 W 0.0000 0.5000 0.2500



The following is a PBE calculation of an optimized crystal structure of BeZn4, from the Alexandria database.

The energy relative to the elements is 0.75 eV per formula unit. For the energy above the most stable polymorph in this dataset, the calculation gives 0.0000 eV per atom.

Cell lengths 6.0651, 6.0651, 3.7048 Å; angles 90.00, 90.00, 90.00 degrees
Space group I4/m (No. 87)
Symmetry-distinct sites (fractional):
1 Be 0.0000 0.0000 0.0000
2 Zn 0.1022 0.2922 0.5000



The following is a PBE calculation of an optimized crystal structure of Er3Co2Si3, from the Alexandria database.

For the uncorrected formation energy, the calculation gives -769 meV/atom. For the energy above the most stable polymorph in this dataset, the calculation gives 0.0000 eV per atom.

Cell lengths 4.0758, 10.3133, 13.4857 Å; angles 90.00, 90.00, 90.00 degrees
Space group Cmcm (No. 63)
Symmetry-distinct sites (fractional):
1 Er 0.0000 0.0811 0.1119
2 Er 0.0000 0.3615 0.2500
3 Co 0.0000 0.2133 0.5821
4 Si 0.0000 0.3320 0.7500
5 Si 0.0000 0.3807 0.0397



The following is a PBE calculation of an optimized crystal structure of Sn3RuF, from the Alexandria database.

For the uncorrected formation energy, the calculation gives -359 meV/atom. For the energy above the most stable polymorph in this dataset, the calculation gives 0.0000 eV per atom.

Cell lengths 5.1019, 5.1019, 5.1019 Å; angles 90.00, 90.00, 90.00 degrees
Space group Pm-3m (No. 221)
Symmetry-distinct sites (fractional):
1 Sn 0.0000 0.0000 0.5000
2 Ru 0.0000 0.0000 0.0000
3 F 0.5000 0.5000 0.5000



The following is a PBE calculation of an optimized crystal structure of NaLaO3, from the Alexandria database.

For the uncorrected formation energy, the calculation gives -1430 meV/atom.

Cell lengths 4.0046, 4.0046, 4.0046 Å; angles 90.00, 90.00, 90.00 degrees
Space group Pm-3m (No. 221)
Symmetry-distinct sites (fractional):
1 Na 0.0000 0.0000 0.0000
2 La 0.5000 0.5000 0.5000
3 O 0.0000 0.0000 0.5000



The following is a PBE calculation of an optimized crystal structure of RbH2F6, from the Alexandria database.

The calculated total energy is -3.4096 eV per atom.

Cell lengths 9.7740, 11.9720, 6.3094 Å; angles 90.00, 118.88, 90.00 degrees
Space group C2/c (No. 15)
Symmetry-distinct sites (fractional):
1 Rb 0.0000 0.1480 0.2500
2 H 0.2165 0.4910 0.2009
3 F 0.0630 0.4364 0.5659
4 F 0.1672 0.3148 0.6165
5 F 0.1816 0.0439 0.7176